Cs2Ag2Te4Pd after structural relaxation, computed with PBE-GGA.

a b c (Å): 7.3012 7.3012 6.9152
angles (deg): 90.00 90.00 122.99
Last column: nearest neighbours and their distance in Å.
Atoms (fractional coordinates):
1 Ag 0.5000 0.5000 0.0000  4 Te 2.83
2 Ag 0.0000 0.0000 0.5000  4 Te 2.82
3 Cs 0.5000 0.0000 0.2578  8 Te 3.82-4.04, 4 Ag 4.02-4.06, 2 Pd 4.06
4 Cs 0.0000 0.5000 0.7422  8 Te 3.82-4.04, 4 Ag 4.02-4.06, 2 Pd 4.06
5 Pd 0.0000 0.0000 0.0000  4 Te 2.68
6 Te 0.1238 0.3411 0.2334  1 Pd 2.68, 2 Ag 2.82-2.83
7 Te 0.8762 0.6589 0.2334  1 Pd 2.68, 2 Ag 2.82-2.83
8 Te 0.3411 0.1238 0.7666  1 Pd 2.68, 2 Ag 2.82-2.83
9 Te 0.6589 0.8762 0.7666  1 Pd 2.68, 2 Ag 2.82-2.83

Summary:
Final energy (eV/atom): -3.218
SG: C222, No. 21
V (Å³ per cell): 309

CsPrAgSe3 after structural relaxation, computed with PBE-GGA.

a b c (Å): 8.2830 8.2830 11.2906
angles (deg): 90.00 90.00 149.84
Last column: nearest neighbours and their distance in Å.
Atoms (fractional coordinates):
1 Ag 0.4616 0.5384 0.2500  4 Se 2.64-2.68
2 Ag 0.5384 0.4616 0.7500  4 Se 2.64-2.68
3 Cs 0.7445 0.2555 0.2500  8 Se 3.63-3.90
4 Cs 0.2555 0.7445 0.7500  8 Se 3.63-3.90
5 Pr 0.0000 0.0000 0.0000  6 Se 2.99-3.00
6 Pr 0.0000 0.0000 0.5000  6 Se 2.99-3.00
7 Se 0.3747 0.6253 0.0517  1 Ag 2.64
8 Se 0.0616 0.9384 0.2500  2 Ag 2.68, 2 Pr 2.99
9 Se 0.3747 0.6253 0.4483  1 Ag 2.64
10 Se 0.6253 0.3747 0.5517  1 Ag 2.64
11 Se 0.9384 0.0616 0.7500  2 Ag 2.68, 2 Pr 2.99
12 Se 0.6253 0.3747 0.9483  1 Ag 2.64

Summary:
Final energy (eV/atom): -4.280
SG: Cmcm, No. 63
Spin magnetization (μB/atom): 0.003
V (Å³ per cell): 389

CsPrAgTe3 after structural relaxation, computed with PBE-GGA.

a b c (Å): 8.9322 8.9322 11.8760
angles (deg): 90.00 90.00 151.11
Last column: nearest neighbours and their distance in Å.
Atoms (fractional coordinates):
1 Ag 0.9618 0.0382 0.2500  4 Te 2.81-2.86
2 Ag 0.0382 0.9618 0.7500  4 Te 2.81-2.86
3 Cs 0.2464 0.7536 0.2500  8 Te 3.85-4.14
4 Cs 0.7536 0.2464 0.7500  8 Te 3.85-4.14
5 Pr 0.5000 0.5000 0.0000  6 Te 3.17-3.20
6 Pr 0.5000 0.5000 0.5000  6 Te 3.17-3.20
7 Te 0.8725 0.1275 0.0528  1 Ag 2.81
8 Te 0.5650 0.4350 0.2500  2 Ag 2.86, 2 Pr 3.17
9 Te 0.8725 0.1275 0.4472  1 Ag 2.81
10 Te 0.1275 0.8725 0.5528  1 Ag 2.81
11 Te 0.4350 0.5650 0.7500  2 Ag 2.86, 2 Pr 3.17
12 Te 0.1275 0.8725 0.9472  1 Ag 2.81

Summary:
Final energy (eV/atom): -3.917
SG: Cmcm, No. 63
Spin magnetization (μB/atom): 0.002
V (Å³ per cell): 458

CsAgPtSeS2 after structural relaxation, computed with PBE-GGA.

a b c (Å): 8.3712 8.3712 10.5787
angles (deg): 90.00 90.00 154.33
Last column: nearest neighbours and their distance in Å.
Atoms (fractional coordinates):
1 Ag 0.0805 0.9195 0.2500  2 S 2.44
2 Ag 0.9195 0.0805 0.7500  2 S 2.44
3 Cs 0.7700 0.2300 0.2500  2 Se 3.57, 2 Ag 3.61, 2 S 3.61, 2 Cs 3.72
4 Cs 0.2300 0.7700 0.7500  2 Se 3.57, 2 Ag 3.61, 2 S 3.61, 2 Cs 3.72
5 Pt 0.5000 0.5000 0.0000  4 S 2.43
6 Pt 0.5000 0.5000 0.5000  4 S 2.43
7 S 0.0951 0.9049 0.0203  2 Pt 2.43, 1 Ag 2.44
8 S 0.0951 0.9049 0.4797  2 Pt 2.43, 1 Ag 2.44
9 S 0.9049 0.0951 0.5203  2 Pt 2.43, 1 Ag 2.44
10 S 0.9049 0.0951 0.9797  2 Pt 2.43, 1 Ag 2.44
11 Se 0.4569 0.5431 0.2500  2 Pt 2.74, 2 Ag 2.74
12 Se 0.5431 0.4569 0.7500  2 Pt 2.74, 2 Ag 2.74

Summary:
Final energy (eV/atom): -3.941
SG: Cmcm, No. 63
Spin magnetization (μB/atom): 0.000
V (Å³ per cell): 321

CsAgTePtS2 after structural relaxation, computed with PBE-GGA.

a b c (Å): 8.7389 8.7389 10.9786
angles (deg): 90.00 90.00 155.75
Last column: nearest neighbours and their distance in Å.
Atoms (fractional coordinates):
1 Ag 0.0814 0.9186 0.2500  2 S 2.46
2 Ag 0.9186 0.0814 0.7500  2 S 2.46
3 Cs 0.7588 0.2412 0.2500  2 Ag 3.54, 2 Cs 3.67, 2 Te 3.72, 2 S 3.97
4 Cs 0.2412 0.7588 0.7500  2 Ag 3.54, 2 Cs 3.67, 2 Te 3.72, 2 S 3.97
5 Pt 0.5000 0.5000 0.0000  4 S 2.43
6 Pt 0.5000 0.5000 0.5000  4 S 2.43
7 S 0.0916 0.9084 0.0264  2 Pt 2.43, 1 Ag 2.46
8 S 0.0916 0.9084 0.4736  2 Pt 2.43, 1 Ag 2.46
9 S 0.9084 0.0916 0.5264  2 Pt 2.43, 1 Ag 2.46
10 S 0.9084 0.0916 0.9736  2 Pt 2.43, 1 Ag 2.46
11 Te 0.4482 0.5518 0.2500  2 Pt 2.88, 2 Ag 2.92
12 Te 0.5518 0.4482 0.7500  2 Pt 2.88, 2 Ag 2.92

Summary:
Final energy (eV/atom): -3.872
SG: Cmcm, No. 63
Spin magnetization (μB/atom): 0.001
V (Å³ per cell): 344

CsAgTe2PtSe after structural relaxation, computed with PBE-GGA.

a b c (Å): 8.4946 8.4946 11.0775
angles (deg): 90.00 90.00 151.97
Last column: nearest neighbours and their distance in Å.
Atoms (fractional coordinates):
1 Ag 0.4474 0.5526 0.2500  2 Se 2.65, 2 Te 2.75
2 Ag 0.5526 0.4474 0.7500  2 Se 2.65, 2 Te 2.75
3 Cs 0.7518 0.2482 0.2500  6 Te 3.79-4.06, 2 Ag 3.82, 2 Se 3.93, 2 Cs 4.11
4 Cs 0.2482 0.7518 0.7500  6 Te 3.79-4.06, 2 Ag 3.82, 2 Se 3.93, 2 Cs 4.11
5 Pt 0.0000 0.0000 0.0000  4 Te 2.71, 2 Se 2.88
6 Pt 0.0000 0.0000 0.5000  4 Te 2.71, 2 Se 2.88
7 Se 0.0488 0.9512 0.2500  2 Ag 2.65, 2 Pt 2.88
8 Se 0.9512 0.0488 0.7500  2 Ag 2.65, 2 Pt 2.88
9 Te 0.3938 0.6062 0.0151  2 Pt 2.71, 1 Ag 2.75
10 Te 0.3938 0.6062 0.4849  2 Pt 2.71, 1 Ag 2.75
11 Te 0.6062 0.3938 0.5151  2 Pt 2.71, 1 Ag 2.75
12 Te 0.6062 0.3938 0.9849  2 Pt 2.71, 1 Ag 2.75

Summary:
Final energy (eV/atom): -3.600
SG: Cmcm, No. 63
Spin magnetization (μB/atom): 0.003
V (Å³ per cell): 376

CsAg3Te4Pt after structural relaxation, computed with PBE-GGA.

a b c (Å): 6.9655 6.9655 6.9655
angles (deg): 90.00 90.00 90.00
Last column: nearest neighbours and their distance in Å.
Atoms (fractional coordinates):
1 Ag 0.5000 0.5000 0.0000  4 Te 2.90
2 Ag 0.5000 0.0000 0.5000  4 Te 2.90
3 Ag 0.0000 0.5000 0.5000  4 Te 2.90
4 Cs 0.0000 0.0000 0.0000  4 Te 3.45
5 Pt 0.5000 0.5000 0.5000  4 Te 2.58
6 Te 0.2859 0.2859 0.2859  1 Pt 2.58
7 Te 0.7141 0.7141 0.2859  1 Pt 2.58
8 Te 0.7141 0.2859 0.7141  1 Pt 2.58
9 Te 0.2859 0.7141 0.7141  1 Pt 2.58

Summary:
Final energy (eV/atom): -3.198
SG: P-43m, No. 215
Spin magnetization (μB/atom): 0.002
V (Å³ per cell): 338

CsPuAg after structural relaxation, computed with PBE-GGA.

a b c (Å): 5.4903 5.4903 5.4903
angles (deg): 60.00 60.00 60.00
Last column: nearest neighbours and their distance in Å.
Atoms (fractional coordinates):
1 Ag 0.2500 0.2500 0.2500  4 Pu 3.36
2 Cs 0.7500 0.7500 0.7500  4 Pu 3.36
3 Pu 0.0000 0.0000 0.0000  4 Ag 3.36, 4 Cs 3.36

Summary:
Final energy (eV/atom): -5.097
SG: F-43m, No. 216
Spin magnetization (μB/atom): 2.472
V (Å³ per cell): 117

CsPuAgS3 after structural relaxation, computed with PBE-GGA.

a b c (Å): 7.9864 7.9864 10.4498
angles (deg): 90.00 90.00 149.97
Last column: nearest neighbours and their distance in Å.
Atoms (fractional coordinates):
1 Ag 0.9589 0.0411 0.2500  4 S 2.48-2.55
2 Ag 0.0411 0.9589 0.7500  4 S 2.48-2.55
3 Cs 0.2414 0.7586 0.2500  8 S 3.53-3.79, 2 Ag 3.94
4 Cs 0.7586 0.2414 0.7500  8 S 3.53-3.79, 2 Ag 3.94
5 Pu 0.5000 0.5000 0.0000  6 S 2.72-2.75
6 Pu 0.5000 0.5000 0.5000  6 S 2.72-2.75
7 S 0.8879 0.1121 0.0370  1 Ag 2.48, 2 Pu 2.72
8 S 0.5556 0.4444 0.2500  2 Ag 2.55, 2 Pu 2.75
9 S 0.8879 0.1121 0.4630  1 Ag 2.48, 2 Pu 2.72
10 S 0.1121 0.8879 0.5370  1 Ag 2.48, 2 Pu 2.72
11 S 0.4444 0.5556 0.7500  2 Ag 2.55, 2 Pu 2.75
12 S 0.1121 0.8879 0.9630  1 Ag 2.48, 2 Pu 2.72

Summary:
Final energy (eV/atom): -6.229
SG: Cmcm, No. 63
Spin magnetization (μB/atom): 0.666
V (Å³ per cell): 334

Cs2PuAg2S4 after structural relaxation, computed with PBE-GGA.

a b c (Å): 7.5684 7.5684 6.3905
angles (deg): 90.00 90.00 130.02
Last column: nearest neighbours and their distance in Å.
Atoms (fractional coordinates):
1 Ag 0.5000 0.5000 0.0000  4 S 2.64
2 Ag 0.0000 0.0000 0.5000  4 S 2.65
3 Cs 0.5000 0.0000 0.2679  8 S 3.75-3.87, 4 Ag 4.06-4.15, 2 Pu 4.15
4 Cs 0.0000 0.5000 0.7321  8 S 3.75-3.87, 4 Ag 4.06-4.15, 2 Pu 4.15
5 Pu 0.0000 0.0000 0.0000  4 S 2.55
6 S 0.1387 0.3380 0.2379  1 Pu 2.55, 2 Ag 2.64-2.65
7 S 0.8613 0.6620 0.2379  1 Pu 2.55, 2 Ag 2.64-2.65
8 S 0.3380 0.1387 0.7621  1 Pu 2.55, 2 Ag 2.64-2.65
9 S 0.6620 0.8613 0.7621  1 Pu 2.55, 2 Ag 2.64-2.65

Summary:
Final energy (eV/atom): -5.100
SG: C222, No. 21
Spin magnetization (μB/atom): 0.445
V (Å³ per cell): 280

CsRb2Ag7 after structural relaxation, computed with PBE-GGA.

a b c (Å): 7.4029 7.4029 7.3996
angles (deg): 90.00 90.00 133.79
Last column: nearest neighbours and their distance in Å.
Atoms (fractional coordinates):
1 Ag 0.5000 0.0000 0.0000  6 Ag 2.81-2.91
2 Ag 0.0000 0.5000 0.0000  6 Ag 2.81-2.91
3 Ag 0.6084 0.3916 0.1942  5 Ag 2.70-2.95
4 Ag 0.3916 0.6084 0.1942  5 Ag 2.70-2.95
5 Ag 0.5000 0.5000 0.5000  4 Ag 2.70
6 Ag 0.6084 0.3916 0.8058  5 Ag 2.70-2.95
7 Ag 0.3916 0.6084 0.8058  5 Ag 2.70-2.95
8 Cs 0.0000 0.0000 0.0000  12 Ag 3.56-3.70
9 Rb 0.8389 0.1611 0.5000  8 Ag 3.64-3.87, 2 Rb 3.78
10 Rb 0.1611 0.8389 0.5000  8 Ag 3.64-3.87, 2 Rb 3.78

Summary:
Final energy (eV/atom): -2.221
SG: Cmmm, No. 65
V (Å³ per cell): 293

Cs2RbAg2 after structural relaxation, computed with PBE-GGA.

a b c (Å): 5.9185 5.9185 8.6200
angles (deg): 110.08 110.08 90.00
Last column: nearest neighbours and their distance in Å.
Atoms (fractional coordinates):
1 Ag 0.5932 0.5932 0.1863  1 Ag 2.81
2 Ag 0.4068 0.4068 0.8137  1 Ag 2.81
3 Cs 0.7500 0.2500 0.5000  4 Ag 3.79, 4 Cs 4.19
4 Cs 0.2500 0.7500 0.5000  4 Ag 3.79, 4 Cs 4.19
5 Rb 0.0000 0.0000 0.0000  8 Ag 4.41, 8 Cs 4.79

Summary:
Final energy (eV/atom): -1.539
SG: I4/mmm, No. 139
V (Å³ per cell): 264

> Among the records above, which one has the highest V?

CsPrAgTe3